SrAlCoO4 after structural relaxation. Source: Alexandria, functional GGA+U.

Energy: -91.7 eV/cell
Spin magnetization: 4.02 μB per cell
Crystal system: tetragonal

a = 5.4883 Å, b = 5.4883 Å, c = 6.5299 Å
α = 90.00°, β = 90.00°, γ = 90.00°
With the nearest neighbours (Å) after each atom.
Space group I-4 (No. 82)
Inequivalent atoms, fractional coordinates:
Sr (0.0000, 0.0000, 0.0000) x2  8 O 2.66-2.67
Al (0.0000, 0.0000, 0.5000) x2  4 O 1.79
Co (0.0000, 0.5000, 0.2500) x2  4 O 1.84
O (0.1501, 0.7797, 0.3410) x8  1 Al 1.79, 1 Co 1.84